DFT (PBE+U) results for a geometry-optimized MoPbCl2O structure.

## Properties
calculated volume = 24.4 Å³/atom
SG = P4/mmm, No. 123
E = -17.09 eV per cell

a b c (Å): 4.519 5.983 4.519
angles (deg): 90.00 90.00 90.00
Fractional coordinates of all 5 atoms:
Pb  0.000  0.500  0.000
Mo  0.000  0.000  0.000
O  0.500  0.500  0.500
Cl  0.000  0.000  0.500
Cl  0.500  0.000  0.000